Here is crystalline TbSm2AgSe5 at its relaxed geometry from Alexandria. Energies are from PBE.

As for the energy relative to the elements, uncorrected: -1.52 eV/atom. The total energy is -5.340 eV per atom.

a = 4.130 Å, b = 17.424 Å, c = 12.513 Å
α = 90.00°, β = 90.00°, γ = 90.00°
Space group Cmc2_1 (No. 36)
One atom of each set of equivalent atoms:
1 Tb 0.000 0.195 0.000 x4
2 Sm 0.000 0.110 0.677 x4
3 Sm 0.000 0.125 0.296 x4
4 Ag 0.000 0.444 0.452 x4
5 Se 0.000 0.045 0.073 x4
6 Se 0.000 0.286 0.661 x4
7 Se 0.000 0.306 0.334 x4
8 Se 0.000 0.360 0.992 x4
9 Se 0.000 0.498 0.765 x4